1.
! MgIn3Sn | Alexandria via LeMat-Bulk | PBE-GGA | optimized geometry; values from VASP
&SYSTEM
  ibrav = 0, nat = 5, ntyp = 3
/
ATOMIC_SPECIES
Mg 24.30 Mg.upf
In 114.82 In.upf
Sn 118.71 Sn.upf
CELL_PARAMETERS angstrom
5.421 0.000 0.000
0.000 5.421 0.000
0.000 0.000 5.421
ATOMIC_POSITIONS angstrom
Mg 0.000 0.000 0.000
In 0.000 0.000 2.711
In 0.000 2.711 0.000
In 2.711 0.000 0.000
Sn 2.711 2.711 2.711
! ρ: 5.080 Mg/m³
! E_form: 2.0 eV per formula unit
! ΔE to the lowest computed polymorph: 420 meV per atom

---

2.
! Pr5DyY4 | Alexandria via LeMat-Bulk | PBE-GGA | optimized geometry; values from VASP
&SYSTEM
  ibrav = 0, nat = 10, ntyp = 3
/
ATOMIC_SPECIES
Pr 140.91 Pr.upf
Dy 162.50 Dy.upf
Y 88.91 Y.upf
CELL_PARAMETERS angstrom
9.435 -1.822 0.000
9.435 1.822 0.000
-2.866 0.000 9.900
ATOMIC_POSITIONS angstrom
Pr 0.000 0.000 0.000
Pr 3.488 0.000 0.996
Pr 5.566 0.000 6.881
Pr 10.438 0.000 3.018
Pr 12.515 0.000 8.903
Dy -1.433 0.000 4.950
Y 2.042 0.000 5.936
Y 6.957 0.000 2.019
Y 9.047 0.000 7.881
Y 13.962 0.000 3.963
! ρ: 5.965 Mg/m³
! E_form: 0.1 eV per formula unit
! ΔE to the lowest computed polymorph: 0 meV per atom

---

3.
! CuSi2 | Alexandria via LeMat-Bulk | PBE-GGA | optimized geometry; values from VASP
&SYSTEM
  ibrav = 0, nat = 6, ntyp = 2
/
ATOMIC_SPECIES
Cu 63.55 Cu.upf
Si 28.09 Si.upf
CELL_PARAMETERS angstrom
3.374 0.000 0.000
0.000 3.374 0.000
0.000 0.000 7.405
ATOMIC_POSITIONS angstrom
Cu 0.000 0.000 0.000
Cu 1.687 1.687 3.702
Si 0.000 0.000 2.424
Si 0.000 0.000 4.980
Si 1.687 1.687 1.278
Si 1.687 1.687 6.127
! ρ: 4.717 Mg/m³
! E_form (uncorrected): 0.329 eV/atom

---

4.
! Pr3Nd2DyTm6 | Alexandria via LeMat-Bulk | PBE-GGA | optimized geometry; values from VASP
&SYSTEM
  ibrav = 0, nat = 12, ntyp = 4
/
ATOMIC_SPECIES
Pr 140.91 Pr.upf
Nd 144.24 Nd.upf
Dy 162.50 Dy.upf
Tm 168.93 Tm.upf
CELL_PARAMETERS angstrom
3.110 -5.386 0.000
3.110 5.386 0.000
-2.068 0.000 11.558
ATOMIC_POSITIONS angstrom
Pr 0.000 0.000 0.000
Pr 3.110 1.797 0.000
Pr 3.110 -1.797 0.000
Nd 2.077 3.592 5.779
Nd 2.077 -3.592 5.779
Dy 2.077 0.000 5.779
Tm 1.038 1.794 2.912
Tm 0.007 0.000 8.647
Tm 1.038 -1.794 2.912
Tm 3.115 1.794 8.646
Tm 4.146 0.000 2.910
Tm 3.115 -1.794 8.646
! ρ: 8.093 Mg/m³
! E_form: 0.2 eV per formula unit

---

5.
! AlHRh2Au | Alexandria via LeMat-Bulk | PBE-GGA | optimized geometry; values from VASP
&SYSTEM
  ibrav = 0, nat = 5, ntyp = 4
/
ATOMIC_SPECIES
Al 26.98 Al.upf
H 1.01 H.upf
Rh 102.91 Rh.upf
Au 196.97 Au.upf
CELL_PARAMETERS angstrom
3.995 0.000 0.000
0.000 3.995 0.000
0.000 0.000 3.928
ATOMIC_POSITIONS angstrom
Al 0.000 0.000 0.000
H 1.997 1.997 1.964
Rh 0.000 1.997 1.964
Rh 1.997 0.000 1.964
Au 1.997 1.997 0.000
! ρ: 11.409 Mg/m³
! ΔE to the lowest computed polymorph: 0 meV per atom

---

6.
! AcThCuIr | Alexandria via LeMat-Bulk | PBE-GGA | optimized geometry; values from VASP
&SYSTEM
  ibrav = 0, nat = 16, ntyp = 4
/
ATOMIC_SPECIES
Ac 227.00 Ac.upf
Th 232.04 Th.upf
Cu 63.55 Cu.upf
Ir 192.22 Ir.upf
CELL_PARAMETERS angstrom
7.320 0.000 0.000
0.000 7.320 0.000
0.000 0.000 7.320
ATOMIC_POSITIONS angstrom
Ac 0.000 0.000 0.000
Ac 0.000 3.660 3.660
Ac 3.660 0.000 3.660
Ac 3.660 3.660 0.000
Th 0.000 0.000 3.660
Th 0.000 3.660 0.000
Th 3.660 0.000 0.000
Th 3.660 3.660 3.660
Cu 1.830 1.830 5.490
Cu 1.830 5.490 1.830
Cu 5.490 1.830 1.830
Cu 5.490 5.490 5.490
Ir 1.830 1.830 1.830
Ir 1.830 5.490 5.490
Ir 5.490 1.830 5.490
Ir 5.490 5.490 1.830
! ρ: 12.103 Mg/m³
! E_form: -1.3 eV per formula unit

---

7.
! Pm4SmY4 | Alexandria via LeMat-Bulk | PBE-GGA | optimized geometry; values from VASP
&SYSTEM
  ibrav = 0, nat = 9, ntyp = 3
/
ATOMIC_SPECIES
Pm 145.00 Pm.upf
Sm 150.36 Sm.upf
Y 88.91 Y.upf
CELL_PARAMETERS angstrom
-5.422 5.422 2.550
5.422 -5.422 2.550
5.422 5.422 -2.550
ATOMIC_POSITIONS angstrom
Pm 3.607 0.000 0.000
Pm 7.236 0.000 0.000
Pm 0.000 3.607 0.000
Pm 0.000 7.236 0.000
Sm 0.000 0.000 0.000
Y 3.618 3.618 0.000
Y 1.804 -1.804 2.550
Y -1.804 1.804 2.550
Y 1.804 1.804 2.550
! ρ: 6.014 Mg/m³
! E_form: 0.1 eV per formula unit

---

8.
! CaInPb | Alexandria via LeMat-Bulk | PBE-GGA | optimized geometry; values from VASP
&SYSTEM
  ibrav = 0, nat = 6, ntyp = 3
/
ATOMIC_SPECIES
Ca 40.08 Ca.upf
In 114.82 In.upf
Pb 207.20 Pb.upf
CELL_PARAMETERS angstrom
4.678 0.000 0.000
0.000 4.678 0.000
0.000 0.000 8.275
ATOMIC_POSITIONS angstrom
Ca 1.169 1.169 1.462
Ca 3.508 3.508 6.813
In 1.169 3.508 4.137
In 3.508 1.169 4.137
Pb 1.169 1.169 6.462
Pb 3.508 3.508 1.812
! ρ: 6.642 Mg/m³
! E_form: -0.8 eV per formula unit

---

9.
! Cs4SeIF | Alexandria via LeMat-Bulk | PBE-GGA | optimized geometry; values from VASP
&SYSTEM
  ibrav = 0, nat = 14, ntyp = 4
/
ATOMIC_SPECIES
Cs 132.91 Cs.upf
Se 78.96 Se.upf
I 126.90 I.upf
F 19.00 F.upf
CELL_PARAMETERS angstrom
8.502 0.000 0.000
0.000 8.061 0.000
-3.413 0.000 10.251
ATOMIC_POSITIONS angstrom
Cs -0.722 0.002 2.229
Cs -0.722 4.029 2.229
Cs 3.439 2.015 0.714
Cs 1.450 2.015 6.689
Cs 3.640 6.046 3.562
Cs 1.651 6.046 9.537
Cs 5.812 8.060 8.022
Cs 5.812 4.032 8.022
Se 1.786 6.046 0.592
Se 3.303 2.015 9.658
I 0.344 6.046 5.776
I 4.745 2.015 4.475
F -0.823 2.015 8.282
F 5.912 6.046 1.969
! ρ: 3.576 Mg/m³
! E_form (uncorrected): -1.623 eV/atom

---

10.
! B5C7 | Alexandria via LeMat-Bulk | PBE-GGA | optimized geometry; values from VASP
&SYSTEM
  ibrav = 0, nat = 12, ntyp = 2
/
ATOMIC_SPECIES
B 10.81 B.upf
C 12.01 C.upf
CELL_PARAMETERS angstrom
2.450 0.000 0.000
0.000 2.592 0.000
0.000 0.000 12.387
ATOMIC_POSITIONS angstrom
B 0.000 0.000 0.000
B 0.000 0.000 4.298
B 0.000 1.296 7.711
B 1.225 0.000 1.379
B 1.225 1.296 6.332
C 0.000 0.000 8.719
C 0.000 1.296 3.232
C 0.000 1.296 11.399
C 1.225 0.000 5.408
C 1.225 0.000 9.579
C 1.225 1.296 2.391
C 1.225 1.296 10.535
! ρ: 2.915 Mg/m³
! E_form: 3.8 eV per formula unit
! ΔE to the lowest computed polymorph: 58 meV per atom

---

11.
! Hf2ZrMn | Alexandria via LeMat-Bulk | PBE-GGA | optimized geometry; values from VASP
&SYSTEM
  ibrav = 0, nat = 4, ntyp = 3
/
ATOMIC_SPECIES
Hf 178.49 Hf.upf
Zr 91.22 Zr.upf
Mn 54.94 Mn.upf
CELL_PARAMETERS angstrom
3.209 0.000 0.000
0.000 3.209 0.000
0.000 0.000 7.459
ATOMIC_POSITIONS angstrom
Hf 0.000 0.000 1.522
Hf 0.000 0.000 5.936
Zr 1.605 1.605 3.729
Mn 1.605 1.605 0.000
! ρ: 10.878 Mg/m³
! E_form: -0.2 eV per formula unit
! ΔE to the lowest computed polymorph: 9 meV per atom

---

12.
! CaLaSc2 | Alexandria via LeMat-Bulk | PBE-GGA | optimized geometry; values from VASP
&SYSTEM
  ibrav = 0, nat = 4, ntyp = 3
/
ATOMIC_SPECIES
Ca 40.08 Ca.upf
La 138.91 La.upf
Sc 44.96 Sc.upf
CELL_PARAMETERS angstrom
3.546 0.000 0.000
0.000 4.872 0.000
-0.008 0.000 7.152
ATOMIC_POSITIONS angstrom
Ca 0.000 0.000 0.000
La -0.004 0.000 3.576
Sc 1.770 2.436 1.890
Sc 1.768 2.436 5.262
! ρ: 3.614 Mg/m³
! E_form: 0.7 eV per formula unit
! ΔE to the lowest computed polymorph: 68 meV per atom